Model 1:
Compound: ReRh5
Source: the Alexandria database
Functional: PBE
Structure: relaxed

Properties
DOS(E_F)   8.3 states/eV/cell

Structure (CIF):
```
data_ReRh5
_cell_length_a 4.3406
_cell_length_b 4.3406
_cell_length_c 5.3284
_cell_angle_alpha 90.00
_cell_angle_beta 90.00
_cell_angle_gamma 120.00
_space_group_name_H-M_alt 'P 6/m m m'
_space_group_IT_number 191
_space_group_name_Hall '-P 6 2'
loop_
_atom_site_label
_atom_site_fract_x
_atom_site_fract_y
_atom_site_fract_z
Re1 0.0000 0.0000 0.0000
Rh1 0.0000 0.0000 0.5000
Rh2 0.3333 0.6667 0.2518
```



Model 2:
Compound: ReRh5
Source: the Alexandria database
Functional: PBE
Structure: relaxed

Properties
DOS(E_F)   13.7 states/eV/cell

Structure (CIF):
```
data_ReRh5
_cell_length_a 10.054
_cell_length_b 2.733
_cell_length_c 6.443
_cell_angle_alpha 90.00
_cell_angle_beta 104.37
_cell_angle_gamma 90.00
_space_group_name_H-M_alt 'C 1 m 1'
_space_group_IT_number 8
loop_
_space_group_symop_operation_xyz
'x,y,z'
'x,-y,z'
'x+1/2,y+1/2,z'
'x+1/2,-y+1/2,z'
loop_
_atom_site_label
_atom_site_fract_x
_atom_site_fract_y
_atom_site_fract_z
Re1 0.000 0.000 0.000
Rh1 0.054 0.000 0.613
Rh2 0.165 0.500 0.331
Rh3 0.219 0.500 0.947
Rh4 0.338 0.000 0.676
Rh5 0.392 0.000 0.275
```



Model 3:
Compound: ReRh5
Source: the Alexandria database
Functional: PBE
Structure: relaxed

Properties
DOS(E_F)   11.3 states/eV/cell

Structure (CIF):
```
data_ReRh5
_cell_length_a 3.853
_cell_length_b 11.499
_cell_length_c 3.863
_cell_angle_alpha 90.00
_cell_angle_beta 90.00
_cell_angle_gamma 90.00
_space_group_name_H-M_alt 'C m m m'
_space_group_IT_number 65
_space_group_name_Hall '-C 2 2'
loop_
_atom_site_label
_atom_site_fract_x
_atom_site_fract_y
_atom_site_fract_z
Re1 0.000 0.000 0.000
Rh1 0.000 0.165 0.500
Rh2 0.000 0.340 0.000
Rh3 0.000 0.500 0.500
```



Order of stability, best first: model 3, model 2, model 1



Model 1:
Compound: ReRh2
Source: the Alexandria database
Functional: PBE
Structure: relaxed

Properties
DOS(E_F)   4.7 states/eV/cell

Structure (CIF):
```
data_ReRh2
_cell_length_a 2.721
_cell_length_b 4.739
_cell_length_c 7.219
_cell_angle_alpha 108.81
_cell_angle_beta 100.81
_cell_angle_gamma 90.01
_space_group_name_H-M_alt 'P -1'
_space_group_IT_number 2
loop_
_space_group_symop_operation_xyz
'x,y,z'
'-x,-y,-z'
loop_
_atom_site_label
_atom_site_fract_x
_atom_site_fract_y
_atom_site_fract_z
Re1 0.087 0.421 0.168
Rh1 0.252 0.256 0.506
Rh2 0.424 0.095 0.844
```



Model 2:
Compound: ReRh2
Source: the Alexandria database
Functional: PBE
Structure: relaxed

Properties
DOS(E_F)   6.2 states/eV/cell

Structure (CIF):
```
data_ReRh2
_cell_length_a 2.719
_cell_length_b 3.857
_cell_length_c 8.194
_cell_angle_alpha 90.00
_cell_angle_beta 90.00
_cell_angle_gamma 90.00
_space_group_name_H-M_alt 'I m m m'
_space_group_IT_number 71
_space_group_name_Hall '-I 2 2'
loop_
_atom_site_label
_atom_site_fract_x
_atom_site_fract_y
_atom_site_fract_z
Re1 0.000 0.000 0.000
Rh1 0.000 0.000 0.336
```



Order of stability, best first: model 2, model 1



Model 1:
Compound: ReRh2
Source: the Alexandria database
Functional: PBE
Structure: relaxed

Properties
DOS(E_F)   6.2 states/eV/cell

Structure (CIF):
```
data_ReRh2
_cell_length_a 4.758
_cell_length_b 2.718
_cell_length_c 6.674
_cell_angle_alpha 90.00
_cell_angle_beta 91.07
_cell_angle_gamma 90.00
_space_group_name_H-M_alt 'P 1 2/m 1'
_space_group_IT_number 10
loop_
_space_group_symop_operation_xyz
'x,y,z'
'-x,-y,-z'
'-x,y,-z'
'x,-y,z'
loop_
_atom_site_label
_atom_site_fract_x
_atom_site_fract_y
_atom_site_fract_z
Re1 0.165 0.000 0.163
Rh1 0.000 0.500 0.500
Rh2 0.327 0.500 0.839
Rh3 0.500 0.000 0.500
```



Model 2:
Compound: ReRh2
Source: the Alexandria database
Functional: PBE
Structure: relaxed

Properties
DOS(E_F)   12.8 states/eV/cell

Structure (CIF):
```
data_ReRh2
_cell_length_a 4.736
_cell_length_b 4.380
_cell_length_c 8.274
_cell_angle_alpha 90.00
_cell_angle_beta 90.00
_cell_angle_gamma 90.00
_space_group_name_H-M_alt 'P n m a'
_space_group_IT_number 62
loop_
_space_group_symop_operation_xyz
'x,y,z'
'-x,-y,-z'
'-x+1/2,-y,z+1/2'
'x+1/2,y,-z+1/2'
'x+1/2,-y+1/2,-z+1/2'
'-x+1/2,y+1/2,z+1/2'
'-x,y+1/2,-z'
'x,-y+1/2,z'
loop_
_atom_site_label
_atom_site_fract_x
_atom_site_fract_y
_atom_site_fract_z
Re1 0.175 0.250 0.167
Rh1 0.162 0.250 0.835
Rh2 0.171 0.250 0.498
```



Model 3:
Compound: ReRh2
Source: the Alexandria database
Functional: PBE
Structure: relaxed

Properties
DOS(E_F)   22.3 states/eV/cell

Structure (CIF):
```
data_ReRh2
_cell_length_a 3.892
_cell_length_b 3.892
_cell_length_c 22.829
_cell_angle_alpha 90.00
_cell_angle_beta 90.00
_cell_angle_gamma 90.00
_space_group_name_H-M_alt 'I 41/a m d'
_space_group_IT_number 141
loop_
_space_group_symop_operation_xyz
'x,y,z'
'-x,-y,-z'
'-y+1/4,x+3/4,z+1/4'
'y+1/4,-x+3/4,-z+1/4'
'-x+1/2,-y,z+1/2'
'x+1/2,y,-z+1/2'
'y+1/4,-x+1/4,z+3/4'
'-y+1/4,x+1/4,-z+3/4'
'x,-y,-z'
'-x,y,z'
'-y+1/4,-x+1/4,-z+3/4'
'y+1/4,x+1/4,z+3/4'
'-x+1/2,y,-z+1/2'
'x+1/2,-y,z+1/2'
'y+1/4,x+3/4,-z+1/4'
'-y+1/4,-x+3/4,z+1/4'
'x+1/2,y+1/2,z+1/2'
'-x+1/2,-y+1/2,-z+1/2'
'-y+3/4,x+1/4,z+3/4'
'y+3/4,-x+1/4,-z+3/4'
'-x,-y+1/2,z'
'x,y+1/2,-z'
'y+3/4,-x+3/4,z+1/4'
'-y+3/4,x+3/4,-z+1/4'
'x+1/2,-y+1/2,-z+1/2'
'-x+1/2,y+1/2,z+1/2'
'-y+3/4,-x+3/4,-z+1/4'
'y+3/4,x+3/4,z+1/4'
'-x,y+1/2,-z'
'x,-y+1/2,z'
'y+3/4,x+1/4,-z+3/4'
'-y+3/4,-x+1/4,z+3/4'
loop_
_atom_site_label
_atom_site_fract_x
_atom_site_fract_y
_atom_site_fract_z
Re1 0.000 0.250 0.288
Rh1 0.000 0.250 0.123
Rh2 0.000 0.250 0.791
```



Order of stability, best first: model 2, model 3, model 1